Crystalline Nd6PaSe12 at its relaxed geometry. Source: Alexandria, functional GGA-PBE.

abc: 8.4461 8.4461 8.4461
angles: 98.99 98.99 98.99
Closest atoms and distances in Å follow each position.
Element x y z (fractional)
Se 0.9321 0.0311 0.6772  1 Pa 2.76, 2 Nd 2.96-3.05
Se 0.0311 0.6772 0.9321  1 Pa 2.76, 2 Nd 2.96-3.05
Se 0.5669 0.4218 0.8218  4 Nd 2.94-3.07
Nd 0.1383 0.6348 0.3071  7 Se 2.94-3.25
Se 0.9689 0.3228 0.0679  1 Pa 2.76, 2 Nd 2.96-3.05
Nd 0.3652 0.6929 0.8617  7 Se 2.94-3.25
Se 0.4331 0.5782 0.1782  4 Nd 2.94-3.07
Se 0.5782 0.1782 0.4331  4 Nd 2.94-3.07
Se 0.3228 0.0679 0.9689  1 Pa 2.76, 2 Nd 2.96-3.05
Se 0.0679 0.9689 0.3228  1 Pa 2.76, 2 Nd 2.96-3.05
Nd 0.6929 0.8617 0.3652  7 Se 2.94-3.25
Se 0.6772 0.9321 0.0311  1 Pa 2.76, 2 Nd 2.96-3.05
Se 0.4218 0.8218 0.5669  4 Nd 2.94-3.07
Nd 0.8617 0.3652 0.6929  7 Se 2.94-3.25
Pa 0.0000 0.0000 0.0000  6 Se 2.76
Se 0.1782 0.4331 0.5782  4 Nd 2.94-3.07
Se 0.8218 0.5669 0.4218  4 Nd 2.94-3.07
Nd 0.3071 0.1383 0.6348  7 Se 2.94-3.25
Nd 0.6348 0.3071 0.1383  7 Se 2.94-3.25

Results
M_tot: 0.0 μB/cell
SG: No. 148
formation energy (no corrections): -1693.9 meV/atom
total energy: -5.900 eV/atom